## Ac2PrTl (PBE-GGA)

Data for an optimized crystal structure of Ac2PrTl.

Values from the calculation:
E_tot in eV per atom: -3.9476
Space group: C2/c
V in Å³ per cell: 303.30
E above lowest polymorph in eV per atom: 0.045

Geometry as POSCAR:
```
Ac2PrTl
1.0
6.167 -3.422 0.000
6.167 3.422 0.000
-1.736 0.000 7.186
Ac Pr Tl
4 2 2
direct
0.214 0.223 0.099
0.223 0.214 0.599
0.777 0.786 0.401
0.786 0.777 0.901
0.312 0.688 0.750
0.688 0.312 0.250
0.212 0.788 0.250
0.788 0.212 0.750
```